*1*
YGeP2S PBE relaxed; space-group type = P4/mmm, No. 123; crystal system = tetragonal
1.0
-1.4764 -0.4407 5.0183
2.6764 -4.4989 0.3923
4.1817 2.6151 1.4600
P Ge S Y
2 1 1 1
Direct
0.5000 0.0000 0.0000
0.0000 0.5000 0.0000
0.5000 0.5000 0.5000
0.0000 0.0000 0.5000
0.0000 0.0000 0.0000

*2*
YGeP2S PBE relaxed; space-group type = P4/mmm, No. 123; crystal system = tetragonal
1.0
-4.0982 -1.9482 0.8944
2.2182 -3.7780 1.9342
-0.0813 2.0695 4.1354
S P Y Ge
1 2 1 1
Direct
0.0000 0.0000 0.0000
0.5000 0.0000 0.0000
0.0000 0.0000 0.5000
0.5000 0.5000 0.5000
0.0000 0.5000 0.0000

*3*
YGeP2S PBE relaxed; space-group type = P4/mmm, No. 123; crystal system = tetragonal
1.0
-4.3243 1.8018 -0.1171
-1.6378 -3.7862 2.2231
0.7769 2.1384 4.2143
Ge Y P S
1 1 2 1
Direct
0.0000 0.0000 0.0000
0.5000 0.5000 0.5000
0.0000 0.5000 0.0000
0.5000 0.0000 0.0000
0.0000 0.0000 0.5000

Relative energies, meV/atom: *1* 545; *2* 206; *3* 0.

*1*
Ge3SbP PBE relaxed; space-group type = Pm-3m, No. 221; crystal system = cubic
1.0
4.8749 0.0000 0.0000
0.0000 4.8749 0.0000
0.0000 0.0000 4.8749
Ge P Sb
3 1 1
Direct
0.5000 0.0000 0.0000
0.0000 0.5000 0.0000
0.0000 0.0000 0.5000
0.0000 0.0000 0.0000
0.5000 0.5000 0.5000

*2*
Ge3SbP PBE relaxed; space-group type = Pm-3m, No. 221; crystal system = cubic
1.0
5.3053 0.0000 0.0000
0.0000 5.3053 0.0000
0.0000 0.0000 5.3053
Sb Ge P
1 3 1
Direct
0.0000 0.0000 0.0000
0.0000 0.0000 0.5000
0.0000 0.5000 0.0000
0.5000 0.0000 0.0000
0.5000 0.5000 0.5000

Relative energies, meV/atom: *1* 0; *2* 736.

*1*
GeSb2P PBE relaxed; space-group type = Fm-3m, No. 225; crystal system = cubic
1.0
0.0000 3.5265 3.5265
3.5265 0.0000 3.5265
3.5265 3.5265 0.0000
Sb Ge P
2 1 1
Direct
0.7500 0.7500 0.7500
0.2500 0.2500 0.2500
0.5000 0.5000 0.5000
0.0000 0.0000 0.0000

*2*
GeSb2P PBE relaxed; space-group type = I-42d, No. 122; crystal system = tetragonal
1.0
-3.8190 3.0303 2.9847
-4.1595 -3.4988 -1.7699
-2.8492 -4.5376 6.4351
Sb P Ge
4 2 2
Direct
0.8750 0.8547 0.7500
0.6047 0.1250 0.2500
0.3750 0.3953 0.7500
0.1453 0.6250 0.2500
0.5000 0.5000 0.0000
0.2500 0.7500 0.5000
0.0000 0.0000 0.0000
0.7500 0.2500 0.5000

Relative energies, meV/atom: *1* 89; *2* 0.

*1*
Sc2GeP2 PBE relaxed; space-group type = P4/mbm, No. 127; crystal system = tetragonal
1.0
-2.0728 -4.7584 5.0013
4.1442 -5.0340 -3.0720
2.7072 0.9768 2.0514
P Sc Ge
4 4 2
Direct
0.3412 0.1588 0.5000
0.6588 0.8412 0.5000
0.1588 0.6588 0.5000
0.8412 0.3412 0.5000
0.3474 0.8474 0.0000
0.1526 0.3474 0.0000
0.8474 0.6526 0.0000
0.6526 0.1526 0.0000
0.5000 0.5000 0.0000
0.0000 0.0000 0.0000

*2*
Sc2GeP2 PBE relaxed; space-group type = I4/mmm, No. 139; crystal system = tetragonal
1.0
-1.3088 -1.4013 -2.8871
-2.6830 -1.2330 1.8147
-5.7704 4.9428 -1.8633
P Sc Ge
2 2 1
Direct
0.2500 0.7500 0.5000
0.7500 0.2500 0.5000
0.6129 0.6129 0.7743
0.3871 0.3871 0.2257
0.0000 0.0000 0.0000

*3*
Sc2GeP2 PBE relaxed; space-group type = P4/mbm, No. 127; crystal system = tetragonal
1.0
-1.9838 2.3255 -6.4648
-6.8368 -0.0043 2.0964
0.3336 3.3279 1.0948
Ge P Sc
2 4 4
Direct
0.0000 0.0000 0.0000
0.5000 0.5000 0.0000
0.8499 0.6501 0.0000
0.6501 0.1501 0.0000
0.1501 0.3499 0.0000
0.3499 0.8499 0.0000
0.3472 0.1528 0.5000
0.6528 0.8472 0.5000
0.1528 0.6528 0.5000
0.8472 0.3472 0.5000

Relative energies, meV/atom: *1* 141; *2* 47; *3* 0.

*1*
ScGeP3 PBE relaxed; space-group type = Pm-3m, No. 221; crystal system = cubic
1.0
4.6696 0.0000 0.0000
0.0000 4.6696 0.0000
0.0000 0.0000 4.6696
P Sc Ge
3 1 1
Direct
0.0000 0.5000 0.0000
0.0000 0.0000 0.5000
0.5000 0.0000 0.0000
0.5000 0.5000 0.5000
0.0000 0.0000 0.0000

*2*
ScGeP3 PBE relaxed; space-group type = Pm-3m, No. 221; crystal system = cubic
1.0
-2.9479 -2.3817 3.1095
2.7708 -4.0189 -0.4514
2.7685 1.4861 3.7629
P Sc Ge
3 1 1
Direct
0.0000 0.0000 0.5000
0.5000 0.0000 0.0000
0.0000 0.5000 0.0000
0.0000 0.0000 0.0000
0.5000 0.5000 0.5000

Relative energies, meV/atom: *1* 0; *2* 103.

*1*
ScGe3P PBE relaxed; space-group type = Pm-3m, No. 221; crystal system = cubic
1.0
5.0983 0.0000 0.0000
0.0000 5.0983 0.0000
0.0000 0.0000 5.0983
Ge Sc P
3 1 1
Direct
0.0000 0.0000 0.5000
0.5000 0.0000 0.0000
0.0000 0.5000 0.0000
0.0000 0.0000 0.0000
0.5000 0.5000 0.5000

*2*
ScGe3P PBE relaxed; space-group type = Pm-3m, No. 221; crystal system = cubic
1.0
-0.0183 4.7239 0.7076
-4.6529 0.1423 -1.0707
-1.0799 -0.6934 4.6010
Ge P Sc
3 1 1
Direct
0.0000 0.5000 0.0000
0.5000 0.0000 0.0000
0.0000 0.0000 0.5000
0.0000 0.0000 0.0000
0.5000 0.5000 0.5000

Relative energies, meV/atom: *1* 526; *2* 0.